(1)
Here is crystalline Rb2Cd2Br5 at its relaxed geometry from Alexandria. Energies are from PBE-GGA.

Cell lengths 5.6219, 5.6219, 10.7419 Å; angles 90.00, 90.00, 90.00 degrees
Last column: nearest neighbours and their distance in Å.
Space group P4/mmm (No. 123)
Symmetry-distinct sites (fractional):
Rb 0.0000 0.0000 0.0000 [1 per cell]  8 Br 3.59
Rb 0.0000 0.0000 0.5000 [1 per cell]  12 Br 3.98-4.21
Cd 0.5000 0.5000 0.2373 [2 per cell]  5 Br 2.82-2.83
Br 0.0000 0.5000 0.2083 [4 per cell]  2 Cd 2.83
Br 0.5000 0.5000 0.5000 [1 per cell]  2 Cd 2.82

## Properties
As for the polymorph energy (0 for the lowest one): 0.0 meV per atom. Its density of states at the Fermi level is 1.1 states/eV/f.u. The size of the total moment comes out at 0.000 μB per atom. The uncorrected formation energy comes out at -109.8 kJ/mol of atoms. The total energy is -0.091 Ha/atom. For the volume, the calculation gives 340 Å³/f.u.


(2)
Here is crystalline Pm3YSb at its relaxed geometry from Alexandria. Energies are from PBE-GGA.

Cell lengths 11.0004, 4.0255, 14.6311 Å; angles 90.00, 90.00, 90.00 degrees
Last column: nearest neighbours and their distance in Å.
Space group Pnma (No. 62)
Symmetry-distinct sites (fractional):
Pm 0.0528 0.2500 0.0876 [4 per cell]  3 Sb 3.21-3.26, 3 Pm 3.31-3.46
Pm 0.0566 0.7500 0.2962 [4 per cell]  2 Sb 3.25-3.63, 4 Pm 3.44-3.59
Pm 0.1965 0.7500 0.7127 [4 per cell]  2 Sb 3.22, 5 Pm 3.31-3.59
Y 0.1653 0.2500 0.5011 [4 per cell]  2 Sb 3.20
Sb 0.1713 0.2500 0.8834 [4 per cell]  2 Y 3.20, 6 Pm 3.21-3.26

## Properties
Its density of states at the Fermi level is 7.5 states/eV/f.u. The size of the total moment comes out at 0.000 μB per atom. The uncorrected formation energy comes out at -35.3 kJ/mol of atoms. The total energy is -0.196 Ha/atom. For the volume, the calculation gives 162 Å³/f.u.


(3)
Here is crystalline MgNi2 at its relaxed geometry from Alexandria. Energies are from PBE-GGA.

Cell lengths 4.8246, 4.8246, 7.8544 Å; angles 90.00, 90.00, 120.00 degrees
Last column: nearest neighbours and their distance in Å.
Space group P6_3/mmc (No. 194)
Symmetry-distinct sites (fractional):
Mg 0.3333 0.6667 0.0631 [4 per cell]  12 Ni 2.82-2.83, 4 Mg 2.94-2.96
Ni 0.0000 0.0000 0.0000 [2 per cell]  6 Ni 2.42
Ni 0.1691 0.3382 0.7500 [6 per cell]  6 Ni 2.38-2.45

## Properties
The energy of formation from the pure elements is -0.219 eV/atom. Its density of states at the Fermi level is 3.6 states/eV/f.u. The size of the total moment comes out at 0.069 μB per atom. The total energy is -0.169 Ha/atom. For the volume, the calculation gives 40 Å³/f.u.


(4)
Here is crystalline Dy8Er2Th at its relaxed geometry from Alexandria. Energies are from PBE-GGA.

Cell lengths 18.0625, 5.0078, 7.9213 Å; angles 90.00, 105.28, 90.00 degrees
Last column: nearest neighbours and their distance in Å.
Space group C2/m (No. 12)
Symmetry-distinct sites (fractional):
Dy 0.0450 0.0000 0.2319 [4 per cell]  9 Dy 3.50-3.60, 2 Th 3.51, 1 Er 3.58
Dy 0.0909 0.5000 0.9533 [4 per cell]  3 Er 3.52-3.55, 1 Th 3.53, 8 Dy 3.54-3.58
Dy 0.1357 0.0000 0.6809 [4 per cell]  7 Dy 3.50-3.57, 2 Th 3.53, 3 Er 3.54-3.55
Dy 0.1805 0.5000 0.4084 [4 per cell]  1 Th 3.52, 8 Dy 3.52-3.57, 3 Er 3.55-3.56
Er 0.2282 0.0000 0.1360 [4 per cell]  10 Dy 3.52-3.58, 2 Er 3.53
Th 0.0000 0.5000 0.5000 [2 per cell]  12 Dy 3.51-3.53

## Properties
The energy of formation from the pure elements is 0.028 eV/atom. As for the polymorph energy (0 for the lowest one): 0.0 meV per atom. Its density of states at the Fermi level is 16.1 states/eV/f.u. The size of the total moment comes out at 0.000 μB per atom. The total energy is -0.177 Ha/atom. For the volume, the calculation gives 346 Å³/f.u.


(5)
Here is crystalline SrTl2GeO4 at its relaxed geometry from Alexandria. Energies are from PBE-GGA.

Cell lengths 7.4688, 8.7341, 5.4774 Å; angles 90.00, 90.00, 90.00 degrees
Last column: nearest neighbours and their distance in Å.
Space group Pmn2_1 (No. 31)
Symmetry-distinct sites (fractional):
Sr 0.0000 0.1052 0.0000 [2 per cell]  4 O 2.40-2.54
Tl 0.2491 0.3145 0.5021 [4 per cell]  2 O 2.44-2.51
Ge 0.0000 0.8769 0.4850 [2 per cell]  4 O 1.77-1.82
O 0.0000 0.0821 0.5376 [2 per cell]  1 Ge 1.82
O 0.0000 0.8490 0.1581 [2 per cell]  1 Ge 1.81
O 0.2016 0.7986 0.6008 [4 per cell]  1 Ge 1.77

## Properties
Its density of states at the Fermi level is 0.0 states/eV/f.u. The size of the total moment comes out at 0.000 μB per atom. The uncorrected formation energy comes out at -159.1 kJ/mol of atoms. The total energy is -0.202 Ha/atom. For the volume, the calculation gives 179 Å³/f.u.


(6)
Here is crystalline SiMo2P at its relaxed geometry from Alexandria. Energies are from PBE-GGA.

Cell lengths 3.2525, 3.3297, 10.9837 Å; angles 90.00, 90.00, 90.00 degrees
Last column: nearest neighbours and their distance in Å.
Space group Imm2 (No. 44)
Symmetry-distinct sites (fractional):
Si 0.0000 0.0000 0.0000 [2 per cell]  6 Mo 2.49-2.53
Mo 0.0000 0.0000 0.5807 [2 per cell]  2 P 2.46, 4 Si 2.49
Mo 0.0000 0.5000 0.8268 [2 per cell]  4 P 2.48, 2 Si 2.53
P 0.0000 0.5000 0.2488 [2 per cell]  6 Mo 2.46-2.48

## Properties
As for the polymorph energy (0 for the lowest one): 0.0 meV per atom. Its density of states at the Fermi level is 2.3 states/eV/f.u. The size of the total moment comes out at 0.000 μB per atom. The uncorrected formation energy comes out at -45.3 kJ/mol of atoms. The total energy is -0.316 Ha/atom. For the volume, the calculation gives 59 Å³/f.u.


(7)
Here is crystalline AlReNi at its relaxed geometry from Alexandria. Energies are from PBE-GGA.

Cell lengths 5.8245, 5.8245, 5.8245 Å; angles 90.00, 90.00, 90.00 degrees
Last column: nearest neighbours and their distance in Å.
Space group F-43m (No. 216)
Symmetry-distinct sites (fractional):
Al 0.0000 0.0000 0.0000 [4 per cell]  4 Re 2.52
Re 0.2500 0.2500 0.7500 [4 per cell]  4 Ni 2.52, 4 Al 2.52
Ni 0.0000 0.0000 0.5000 [4 per cell]  4 Re 2.52

## Properties
The energy of formation from the pure elements is 0.612 eV/atom. As for the polymorph energy (0 for the lowest one): 951.5 meV per atom. Its density of states at the Fermi level is 3.9 states/eV/f.u. The size of the total moment comes out at 0.634 μB per atom. The total energy is -0.247 Ha/atom. For the volume, the calculation gives 49 Å³/f.u.


(8)
Here is crystalline LaSm6Y at its relaxed geometry from Alexandria. Energies are from PBE-GGA.

Cell lengths 5.1429, 5.1429, 10.2859 Å; angles 90.00, 90.00, 90.00 degrees
Last column: nearest neighbours and their distance in Å.
Space group P4/mmm (No. 123)
Symmetry-distinct sites (fractional):
La 0.0000 0.0000 0.0000 [1 per cell]  12 Sm 3.64-3.66
Sm 0.0000 0.5000 0.2530 [4 per cell]  8 Sm 3.61-3.66, 2 Y 3.61, 2 La 3.66
Sm 0.5000 0.5000 0.0000 [1 per cell]  4 La 3.64, 8 Sm 3.66
Sm 0.5000 0.5000 0.5000 [1 per cell]  8 Sm 3.61, 4 Y 3.64
Y 0.0000 0.0000 0.5000 [1 per cell]  12 Sm 3.61-3.64

## Properties
The energy of formation from the pure elements is 0.022 eV/atom. Its density of states at the Fermi level is 13.7 states/eV/f.u. The size of the total moment comes out at 0.000 μB per atom. The total energy is -0.182 Ha/atom. For the volume, the calculation gives 272 Å³/f.u.